4
Lattice="2.170 1.253 4.931 -2.170 1.253 4.931 0.000 -2.506 4.931" Properties=species:S:1:pos:R:3 comment="SCAN CaZn2Pt, single point on PBEsol structure" formation_enthalpy_0k_mev_per_atom=-668 energy_ev_per_atom=-27.390 pbc="T T T"
Ca 0.000 0.000 0.000
Zn 0.000 0.000 7.778
Zn 0.000 0.000 11.908
Pt 0.000 0.000 2.890



4
Lattice="3.723 -2.145 0.000 3.723 2.145 0.000 -2.466 0.000 4.845" Properties=species:S:1:pos:R:3 comment="SCAN CaZn2Pt, single point on PBEsol structure" formation_enthalpy_0k_mev_per_atom=-653 energy_ev_per_atom=-27.374 pbc="T T T"
Ca 0.000 0.000 0.000
Zn 0.009 0.000 2.985
Zn 4.971 0.000 1.860
Pt 2.490 0.000 2.423